# Ac7Zn2In2, optimized geometry, DFT PBE
# - Size of the total moment: 0.001 μB/f.u.
# - ΔE_f: -0.055 eV/atom
# - Uncorrected energy: -3.399 eV/atom
data_Ac7Zn2In2
_chemical_formula_sum 'Ac14 Zn4 In4'
_space_group_name_H-M_alt 'C m m m'
_space_group_IT_number 65
_space_group_name_Hall '-C 2 2'
_cell_length_a 8.612
_cell_length_b 12.230
_cell_length_c 8.010
_cell_angle_alpha 90.00
_cell_angle_beta 90.00
_cell_angle_gamma 90.00
loop_
_atom_site_label
_atom_site_fract_x
_atom_site_fract_y
_atom_site_fract_z
_atom_site_occupancy
Ac1 0.000 0.000 0.000 1
Ac2 0.000 0.500 0.249 1
Ac3 0.250 0.250 0.274 1
Zn1 0.000 0.292 0.000 1
In1 0.167 0.000 0.500 1

***

# SrCa2Zn, optimized geometry, DFT PBE
# - Size of the total moment: 0.000 μB/f.u.
# - ΔE_f: -0.030 eV/atom
# - Uncorrected energy: -1.769 eV/atom
data_SrCa2Zn
_chemical_formula_sum 'Sr2 Ca4 Zn2'
_space_group_name_H-M_alt 'I m m 2'
_space_group_IT_number 44
_cell_length_a 3.953
_cell_length_b 5.985
_cell_length_c 12.351
_cell_angle_alpha 90.00
_cell_angle_beta 90.00
_cell_angle_gamma 90.00
loop_
_space_group_symop_operation_xyz
'x,y,z'
'-x,-y,z'
'-x,y,z'
'x,-y,z'
'x+1/2,y+1/2,z+1/2'
'-x+1/2,-y+1/2,z+1/2'
'-x+1/2,y+1/2,z+1/2'
'x+1/2,-y+1/2,z+1/2'
loop_
_atom_site_label
_atom_site_fract_x
_atom_site_fract_y
_atom_site_fract_z
_atom_site_occupancy
Sr1 0.000 0.000 0.000 1
Ca1 0.000 0.000 0.397 1
Ca2 0.000 0.500 0.200 1
Zn1 0.000 0.500 0.707 1